No. 1
Ti2V5Cr2Ga (PBE-GGA, optimized geometry); symmetry = P4/mbm; ΔE_f = 13.68 kJ/mol of atoms; spin magnetization = 0.0 Bohr magnetons per cell; DOS at the Fermi energy = 1.1127 states/eV/atom
1.0
9.8399 0.0000 0.0000
0.0000 9.8399 0.0000
0.0000 0.0000 3.0335
Ti V Cr Ga
4 10 4 2
Direct
0.1736 0.3264 0.0000
0.3264 0.8264 0.0000
0.6736 0.1736 0.0000
0.8264 0.6736 0.0000
0.0000 0.5000 0.5000
0.0656 0.7959 0.5000
0.2041 0.0656 0.5000
0.2959 0.5656 0.5000
0.4344 0.2959 0.5000
0.5000 0.0000 0.5000
0.5656 0.7041 0.5000
0.7041 0.4344 0.5000
0.7959 0.9344 0.5000
0.9344 0.2041 0.5000
0.1268 0.6268 0.0000
0.3732 0.1268 0.0000
0.6268 0.8732 0.0000
0.8732 0.3732 0.0000
0.0000 0.0000 0.0000
0.5000 0.5000 0.0000


No. 2
Ti2CrGaW (PBE-GGA, optimized geometry); symmetry = P4/mmm; ΔE_f = 73.13 kJ/mol of atoms; spin magnetization = 0.0 Bohr magnetons per cell; DOS at the Fermi energy = 1.3744 states/eV/atom
1.0
4.4651 0.0000 0.0000
0.0000 4.4651 0.0000
0.0000 0.0000 4.5241
Ti Cr Ga W
2 1 1 1
Direct
0.0000 0.5000 0.0000
0.5000 0.0000 0.0000
0.0000 0.0000 0.0000
0.5000 0.5000 0.5000
0.0000 0.0000 0.5000


No. 3
Ti2ZnCrGa (PBE-GGA, optimized geometry); symmetry = P4/mmm; ΔE_f = 103.96 kJ/mol of atoms; spin magnetization = 0.0 Bohr magnetons per cell; DOS at the Fermi energy = 1.4457 states/eV/atom
1.0
4.6470 0.0000 0.0000
0.0000 4.6470 0.0000
0.0000 0.0000 4.2914
Ti Zn Cr Ga
2 1 1 1
Direct
0.0000 0.5000 0.0000
0.5000 0.0000 0.0000
0.0000 0.0000 0.0000
0.5000 0.5000 0.5000
0.0000 0.0000 0.5000


No. 4
TlCr2Ga (PBE-GGA, optimized geometry); symmetry = I-42d; ΔE_f = 83.17 kJ/mol of atoms; spin magnetization = 4.6 Bohr magnetons per cell; DOS at the Fermi energy = 1.0233 states/eV/atom; excess energy over the best structure of this formula in the dataset = 362.7 meV per atom
1.0
-1.9864 1.9864 9.1975
1.9864 -1.9864 9.1975
1.9864 1.9864 -9.1975
Tl Cr Ga
2 4 2
Direct
0.0000 0.0000 0.0000
0.7500 0.2500 0.5000
0.2311 0.6250 0.1061
0.3750 0.4811 0.6061
0.5189 0.1250 0.8939
0.8750 0.7689 0.3939
0.2500 0.7500 0.5000
0.5000 0.5000 0.0000


No. 5
TlCr2Ga (PBE-GGA, optimized geometry); symmetry = Fm-3m; ΔE_f = 48.18 kJ/mol of atoms; spin magnetization = 7.0 Bohr magnetons per cell; DOS at the Fermi energy = 0.7946 states/eV/atom; excess energy over the best structure of this formula in the dataset = 0.0 meV per atom
1.0
0.0000 3.2811 3.2811
3.2811 0.0000 3.2811
3.2811 3.2811 0.0000
Tl Cr Ga
1 2 1
Direct
0.0000 0.0000 0.0000
0.2500 0.2500 0.2500
0.7500 0.7500 0.7500
0.5000 0.5000 0.5000


No. 6
TlCr2Ga2 (PBE-GGA, optimized geometry); symmetry = P4/mbm; ΔE_f = 32.23 kJ/mol of atoms; spin magnetization = 0.0 Bohr magnetons per cell; DOS at the Fermi energy = 0.9780 states/eV/atom
1.0
7.2208 0.0000 0.0000
0.0000 7.2208 0.0000
0.0000 0.0000 3.1040
Tl Cr Ga
2 4 4
Direct
0.0000 0.0000 0.0000
0.5000 0.5000 0.0000
0.1041 0.3959 0.0000
0.3959 0.8959 0.0000
0.6041 0.1041 0.0000
0.8959 0.6041 0.0000
0.1807 0.6807 0.5000
0.3193 0.1807 0.5000
0.6807 0.8193 0.5000
0.8193 0.3193 0.5000